Ca5Sc: optimized geometry, PBE.

Computed properties:
N(E_F)   1.574 states/eV per atom
Relative energy among the computed polymorphs   0.008 eV per atom
Formation energy   0.13 eV/atom
Energy   -2.59 eV per atom

Unit cell a=6.2288 b=3.7588 c=19.6251 alpha=90.00 beta=90.00 gamma=90.00
Last column: nearest neighbours and their distance in Å.
Space group Amm2 (No. 38)
Asymmetric unit:
Ca 0.0000 0.0000 0.0000 x2  2 Sc 3.63, 10 Ca 3.75-4.05
Ca 0.0000 0.0000 0.3173 x2  2 Sc 3.64, 10 Ca 3.76-4.05
Ca 0.5000 0.0000 0.1067 x2  8 Ca 3.63-3.84, 4 Sc 3.78
Ca 0.5000 0.0000 0.4360 x2  12 Ca 3.76-3.89
Ca 0.5000 0.0000 0.7653 x2  10 Ca 3.63-3.84, 2 Sc 3.75
Sc 0.0000 0.0000 0.6584 x2  10 Ca 3.63-3.78, 2 Sc 3.76